(1)
A plane-wave DFT calculation with GGA-PBE was carried out for a relaxed structure of PuHfTi2.

Geometry as POSCAR:
```
PuHfTi2
1.0
-0.022 -2.999 -0.739
-0.107 -2.141 2.223
-9.826 -1.580 0.176
Pu Hf Ti
1 1 2
Direct
0.500 0.500 0.499
0.667 0.667 0.000
0.081 0.081 0.754
0.251 0.251 0.247
```

Properties
As for the formation energy: 3.98 kcal/mol of atoms. The uncorrected energy is -9.85 eV/atom. The space group is Cm. The value obtained for the density of states at the Fermi level is 2.3746 states/eV per atom.

(2)
A plane-wave DFT calculation with GGA-PBE was carried out for a relaxed structure of PuHfTi.

Geometry as POSCAR:
```
PuHfTi
1.0
3.061 0.000 0.000
0.000 4.856 0.000
0.000 -2.428 4.206
Ti Hf Pu
1 1 1
Direct
0.500 0.333 0.667
0.000 0.000 0.000
0.500 0.667 0.333
```

Properties
As for the formation energy: 1.78 kcal/mol of atoms. The uncorrected energy is -10.65 eV/atom. The space group is P-6m2. The value obtained for the density of states at the Fermi level is 2.1558 states/eV per atom.

(3)
A plane-wave DFT calculation with GGA-PBE was carried out for a relaxed structure of PuHfZrTi.

Geometry as POSCAR:
```
PuHfZrTi
1.0
-4.191 0.597 -2.570
-3.834 -3.035 0.777
-4.072 1.683 2.260
Ti Hf Zr Pu
1 1 1 1
Direct
0.250 0.250 0.250
0.500 0.500 0.500
0.000 0.000 0.000
0.750 0.750 0.750
```

Properties
As for the formation energy: 4.50 kcal/mol of atoms. The uncorrected energy is -9.99 eV/atom. The space group is F-43m. The value obtained for the density of states at the Fermi level is 3.3144 states/eV per atom.

(4)
A plane-wave DFT calculation with GGA-PBE was carried out for a relaxed structure of PuHf2Tl.

Geometry as POSCAR:
```
PuHf2Tl
1.0
3.274 0.000 0.000
1.637 2.836 0.000
1.637 0.945 10.147
Tl Hf Pu
1 2 1
Direct
0.500 0.500 0.500
0.250 0.250 0.249
0.750 0.750 0.751
0.000 0.000 0.000
```

Properties
As for the formation energy: 2.98 kcal/mol of atoms. The uncorrected energy is -9.02 eV/atom. The space group is R-3m. The value obtained for the density of states at the Fermi level is 1.7244 states/eV per atom.

(5)
A plane-wave DFT calculation with GGA-PBE was carried out for a relaxed structure of PuHfTl.

Geometry as POSCAR:
```
PuHfTl
1.0
-0.664 3.096 -0.888
-0.044 -2.400 -2.248
-7.790 -1.245 1.483
Tl Hf Pu
1 1 1
Direct
0.000 0.000 0.011
0.667 0.333 0.334
0.333 0.667 0.654
```

Properties
As for the formation energy: 3.20 kcal/mol of atoms. The uncorrected energy is -8.75 eV/atom. The space group is P3m1. The value obtained for the density of states at the Fermi level is 2.6618 states/eV per atom.

(6)
A plane-wave DFT calculation with GGA-PBE was carried out for a relaxed structure of PuHfTl.

Geometry as POSCAR:
```
PuHfTl
1.0
-2.280 0.598 2.150
-2.221 -0.915 -2.100
2.756 -6.630 2.399
Tl Hf Pu
1 1 1
Direct
0.005 0.005 0.010
0.666 0.666 0.331
0.329 0.329 0.659
```

Properties
As for the formation energy: 2.52 kcal/mol of atoms. The uncorrected energy is -8.77 eV/atom. The space group is I4mm. The value obtained for the density of states at the Fermi level is 2.0929 states/eV per atom.

- The lowest uncorrected energy belongs to which entry?
  PuHfTi

- Which of these has the lowest uncorrected energy?
  PuHfTi

Repeat the first record exactly.
A plane-wave DFT calculation with GGA-PBE was carried out for a relaxed structure of PuHfTi2.

Geometry as POSCAR:
```
PuHfTi2
1.0
-0.022 -2.999 -0.739
-0.107 -2.141 2.223
-9.826 -1.580 0.176
Pu Hf Ti
1 1 2
Direct
0.500 0.500 0.499
0.667 0.667 0.000
0.081 0.081 0.754
0.251 0.251 0.247
```

Properties
As for the formation energy: 3.98 kcal/mol of atoms. The uncorrected energy is -9.85 eV/atom. The space group is Cm. The value obtained for the density of states at the Fermi level is 2.3746 states/eV per atom.